# Li3AcAg2 | the Alexandria database | GGA-PBE | optimized geometry
# symmetry	No. 191
# energy of formation from the pure elements	-176	meV per atom
data_Li3AcAg2
_cell_length_a 10.373
_cell_length_b 10.373
_cell_length_c 4.351
_cell_angle_alpha 90.00
_cell_angle_beta 90.00
_cell_angle_gamma 120.00
_space_group_name_H-M_alt 'P 1'
_space_group_IT_number 1
loop_
_space_group_symop_operation_xyz
'x,y,z'
loop_
_atom_site_label
_atom_site_type_symbol
_atom_site_fract_x
_atom_site_fract_y
_atom_site_fract_z
Li1 Li 0.000 0.295 0.000
Li2 Li 0.000 0.500 0.500
Li3 Li 0.000 0.705 0.000
Li4 Li 0.295 0.000 0.000
Li5 Li 0.295 0.295 0.000
Li6 Li 0.500 0.000 0.500
Li7 Li 0.500 0.500 0.500
Li8 Li 0.705 0.000 0.000
Li9 Li 0.705 0.705 0.000
Ac1 Ac 0.000 0.000 0.500
Ac2 Ac 0.333 0.667 0.000
Ac3 Ac 0.667 0.333 0.000
Ag1 Ag 0.188 0.377 0.500
Ag2 Ag 0.188 0.812 0.500
Ag3 Ag 0.377 0.188 0.500
Ag4 Ag 0.623 0.812 0.500
Ag5 Ag 0.812 0.188 0.500
Ag6 Ag 0.812 0.623 0.500

# Li2AcAg | the Alexandria database | GGA-PBE | optimized geometry
# symmetry	No. 166
# energy of formation from the pure elements	-23	meV per atom
data_Li2AcAg
_cell_length_a 6.286
_cell_length_b 6.286
_cell_length_c 6.286
_cell_angle_alpha 41.92
_cell_angle_beta 41.92
_cell_angle_gamma 41.92
_space_group_name_H-M_alt 'P 1'
_space_group_IT_number 1
loop_
_space_group_symop_operation_xyz
'x,y,z'
loop_
_atom_site_label
_atom_site_type_symbol
_atom_site_fract_x
_atom_site_fract_y
_atom_site_fract_z
Li1 Li 0.202 0.202 0.202
Li2 Li 0.798 0.798 0.798
Ac1 Ac 0.000 0.000 0.000
Ag1 Ag 0.500 0.500 0.500

Number 1: relative energy among the computed polymorphs 0 kJ/mol of formula units. Number 2: relative energy among the computed polymorphs 43 kJ/mol of formula units.